*a*
Compound: Pm2InAu6
Source: Alexandria
Functional: GGA-PBE
Structure: relaxed

Summary:
Symmetry ... C2/m
D(E_F) ... 4.8 states/eV per cell

abc: 6.494 6.494 5.491
angles: 90.27 90.27 60.40
Positions (direct):
Pm: 0.167 0.167 0.328
Pm: 0.833 0.833 0.672
In: 0.500 0.500 0.500
Au: 0.124 0.689 0.179
Au: 0.311 0.876 0.821
Au: 0.314 0.314 0.823
Au: 0.686 0.686 0.177
Au: 0.689 0.124 0.179
Au: 0.876 0.311 0.821

*b*
Compound: Pm2InAu6
Source: Alexandria
Functional: GGA-PBE
Structure: relaxed

Summary:
Symmetry ... Cmmm
D(E_F) ... 4.1 states/eV per cell

abc: 7.464 7.464 4.247
angles: 90.00 90.00 122.31
Positions (direct):
Pm: 0.207 0.793 0.000
Pm: 0.793 0.207 0.000
In: 0.000 0.000 0.500
Au: 0.160 0.450 0.500
Au: 0.295 0.295 0.000
Au: 0.450 0.160 0.500
Au: 0.550 0.840 0.500
Au: 0.705 0.705 0.000
Au: 0.840 0.550 0.500

*a* is preferred energetically. Next in line: 2.8 kJ/mol of atoms higher.

*a*
Compound: PmInAu3
Source: Alexandria
Functional: GGA-PBE
Structure: relaxed

Summary:
Symmetry ... P2_1/m
D(E_F) ... 6.0 states/eV per cell

abc: 5.581 7.023 5.988
angles: 90.00 103.21 90.00
Positions (direct):
Pm: 0.162 0.250 0.259
Pm: 0.838 0.750 0.741
In: 0.420 0.750 0.103
In: 0.580 0.250 0.897
Au: 0.009 0.250 0.743
Au: 0.320 0.550 0.643
Au: 0.320 0.950 0.643
Au: 0.680 0.050 0.357
Au: 0.680 0.450 0.357
Au: 0.991 0.750 0.257

*b*
Compound: PmInAu3
Source: Alexandria
Functional: GGA-PBE
Structure: relaxed

Summary:
Symmetry ... P2_1/m
D(E_F) ... 2.0 states/eV per cell

abc: 5.111 5.146 8.582
angles: 90.00 107.18 90.00
Positions (direct):
Pm: 0.145 0.250 0.293
Pm: 0.855 0.750 0.707
In: 0.357 0.250 0.716
In: 0.643 0.750 0.284
Au: 0.047 0.750 0.092
Au: 0.253 0.750 0.496
Au: 0.458 0.750 0.915
Au: 0.542 0.250 0.085
Au: 0.747 0.250 0.504
Au: 0.953 0.250 0.908

*b* is preferred energetically. Next in line: 4.2 kJ/mol of atoms higher.

*a*
Compound: TbPmInAu
Source: Alexandria
Functional: GGA-PBE
Structure: relaxed

Summary:
Symmetry ... P4mm
D(E_F) ... 2.5 states/eV per cell

abc: 3.655 3.655 7.828
angles: 90.00 90.00 90.00
Positions (direct):
Tb: 0.000 0.000 0.000
Pm: 0.000 0.000 0.463
In: 0.500 0.500 0.736
Au: 0.500 0.500 0.209

*b*
Compound: TbPmInAu
Source: Alexandria
Functional: GGA-PBE
Structure: relaxed

Summary:
Symmetry ... F-43m
D(E_F) ... 4.3 states/eV per cell

abc: 5.303 5.303 5.303
angles: 60.00 60.00 60.00
Positions (direct):
Tb: 0.000 0.000 0.000
Pm: 0.500 0.500 0.500
In: 0.250 0.250 0.250
Au: 0.750 0.750 0.750

*a* is preferred energetically. Next in line: 6.7 kJ/mol of atoms higher.